Compound: LiYZr
Source: the Alexandria database
Functional: PBE-GGA
Structure: optimized geometry

a = 3.805 Å, b = 3.805 Å, c = 10.627 Å
α = 90.00°, β = 90.00°, γ = 90.00°
Space group P4/nmm (No. 129, origin choice 2)
Inequivalent atoms, fractional coordinates:
Li1 0.250 0.250 0.065 x2
Y1 0.250 0.250 0.746 x2
Zr1 0.250 0.250 0.440 x2

calculated total energy = -33.45 eV for the cell shown
ΔE to the lowest computed polymorph = 0.0000 eV/atom
E_form = 67 meV/atom
density = 4.037 g cm⁻³